# 1
TaTcHg2, optimized geometry, DFT PBE; space group = Cmm2, No. 35; energy above the lowest structure with this stoichiometry = 38 meV/atom; total DFT energy (no corrections) = -5.4410 eV per atom; total moment = 0.000 μB per cell
1.0
1.6186 -2.5315 0.0000
1.6186 2.5315 0.0000
0.0000 0.0000 9.6726
Ta Tc Hg
1 1 2
Direct
0.0000 0.0000 0.0000
0.5000 0.5000 0.8033
0.0000 0.0000 0.5479
0.5000 0.5000 0.2638

=====

# 2
AlHg2As, optimized geometry, DFT PBE; space group = Imm2, No. 44; energy above the lowest structure with this stoichiometry = 180 meV/atom; total DFT energy (no corrections) = -2.1002 eV per atom; total moment = 0.000 μB per cell
1.0
-1.8577 2.0866 5.9469
1.8577 -2.0866 5.9469
1.8577 2.0866 -5.9469
Al Hg As
1 2 1
Direct
0.0000 0.0000 0.0000
0.4342 0.4342 0.0000
0.7484 0.2484 0.5000
0.1420 0.6420 0.5000

=====

# 3
BaYTl4, optimized geometry, DFT PBE; space group = P4/mmm, No. 123; energy above the lowest structure with this stoichiometry = 83 meV/atom; total DFT energy (no corrections) = -3.0294 eV per atom; total moment = 0.000 μB per cell
1.0
5.1537 0.0000 0.0000
0.0000 5.1537 0.0000
0.0000 0.0000 8.5500
Ba Y Tl
1 1 4
Direct
0.0000 0.0000 0.0000
0.5000 0.5000 0.5000
0.0000 0.5000 0.2959
0.0000 0.5000 0.7041
0.5000 0.0000 0.2959
0.5000 0.0000 0.7041

=====

# 4
OsPd2Rh, optimized geometry, DFT PBE; space group = R3m, No. 160; energy above the lowest structure with this stoichiometry = 0 meV/atom; total DFT energy (no corrections) = -7.1698 eV per atom; total moment = 0.000 μB per cell
1.0
1.3816 0.7977 8.9315
-1.3816 0.7977 8.9315
0.0000 -1.5953 8.9315
Os Pd Rh
1 2 1
Direct
0.0000 0.0000 0.0000
0.4160 0.4160 0.4160
0.8364 0.8364 0.8364
0.2552 0.2552 0.2552